Entry 1:
VASP calculation (PBE-GGA) on a relaxed Pr2GdTm crystal.

Output
**Energy above the lowest structure with this stoichiometry**: 0.07 kcal/mol of atoms
**Energy relative to the elements**: 2 kJ per mole of atoms
**Space group**: P4/mmm (123)

Lattice parameters (Å, degrees): 3.651 3.651 10.114 90.00 90.00 90.00
Last column: magnetic moment on the atom in μB.
Fractional positions:
Pr  0.000  0.000  0.754  -0.03
Gd  0.500  0.500  0.500  7.21
Tm  0.500  0.500  0.000  -0.14
Pr  0.000  0.000  0.246  -0.03

Entry 2:
VASP calculation (PBE-GGA) on a relaxed TaAg4W crystal.

Output
**Energy relative to the elements**: 80 kJ per mole of atoms
**Space group**: F-43m (216)

Lattice parameters (Å, degrees): 5.303 5.303 5.303 60.00 60.00 60.00
Fractional positions:
Ag  0.625  0.625  0.625
Ta  0.250  0.250  0.250
Ag  0.625  0.625  0.125
Ag  0.125  0.625  0.625
Ag  0.625  0.125  0.625
W  0.000  0.000  0.000

Entry 3:
VASP calculation (PBE-GGA) on a relaxed Tl2CoIr crystal.

Output
**Energy above the lowest structure with this stoichiometry**: 5.51 kcal/mol of atoms
**Energy relative to the elements**: 63 kJ per mole of atoms
**Space group**: R-3m (166)

Lattice parameters (Å, degrees): 8.624 8.624 8.624 21.15 21.15 21.15
Last column: magnetic moment on the atom in μB.
Fractional positions:
Co  0.250  0.250  0.250  1.14
Tl  0.503  0.503  0.503  -0.01
Ir  0.750  0.750  0.750  0.08
Tl  0.997  0.997  0.997  -0.01

Entry 4:
VASP calculation (PBE-GGA) on a relaxed KYSn crystal.

Output
**Energy above the lowest structure with this stoichiometry**: 1.37 kcal/mol of atoms
**Energy relative to the elements**: -32 kJ per mole of atoms
**Space group**: P2_1/m (11)

Lattice parameters (Å, degrees): 13.264 4.284 4.498 90.00 80.08 90.00
Fractional positions:
Sn  0.591  0.895  0.454
Sn  0.409  0.395  0.546
Y  0.609  0.395  0.945
Y  0.391  0.895  0.055
K  0.140  0.395  0.681
K  0.860  0.895  0.319

Entry 5:
VASP calculation (PBE-GGA) on a relaxed SrSc2MnHg crystal.

Output
**Energy relative to the elements**: 8 kJ per mole of atoms
**Space group**: P4/mmm (123)

Lattice parameters (Å, degrees): 4.807 5.413 4.807 90.00 90.00 90.00
Fractional positions:
Hg  0.000  0.500  0.000
Mn  0.000  0.000  0.000
Sc  0.000  0.000  0.500
Sc  0.500  0.000  0.000
Sr  0.500  0.500  0.500

Entry 6:
VASP calculation (PBE-GGA) on a relaxed Tb3Sm2Cd3 crystal.

Output
**Energy relative to the elements**: -23 kJ per mole of atoms
**Space group**: Immm (71)

Lattice parameters (Å, degrees): 3.781 5.377 11.661 103.33 99.33 90.00
Fractional positions:
Tb  0.500  0.000  0.000
Cd  0.000  0.500  0.000
Sm  0.267  0.767  0.534
Cd  0.885  0.885  0.770
Tb  0.379  0.379  0.758
Tb  0.621  0.621  0.242
Cd  0.115  0.115  0.230
Sm  0.733  0.233  0.466

Entry 7:
VASP calculation (PBE-GGA) on a relaxed Li2ErMgHg2 crystal.

Output
**Energy relative to the elements**: -31 kJ per mole of atoms
**Space group**: P-3m1 (164)

Lattice parameters (Å, degrees): 4.709 4.709 6.538 90.00 90.00 120.00
Fractional positions:
Li  0.667  0.333  0.312
Hg  0.667  0.333  0.757
Er  0.000  0.000  0.000
Hg  0.333  0.667  0.243
Mg  0.000  0.000  0.500
Li  0.333  0.667  0.688

Entry 8:
VASP calculation (PBE-GGA) on a relaxed Pm5PrIn2 crystal.

Output
**Energy above the lowest structure with this stoichiometry**: 2.31 kcal/mol of atoms
**Energy relative to the elements**: -17 kJ per mole of atoms
**Space group**: Immm (71)

Lattice parameters (Å, degrees): 3.717 8.588 8.588 78.48 77.50 77.50
Fractional positions:
Pm  0.638  0.583  0.141
Pr  0.000  0.000  0.000
In  0.732  0.768  0.768
Pm  0.362  0.417  0.859
Pm  0.000  0.500  0.500
In  0.268  0.232  0.232
Pm  0.362  0.859  0.417
Pm  0.638  0.141  0.583

Entry 9:
VASP calculation (PBE-GGA) on a relaxed Lu2ZrSe crystal.

Output
**Formation energy (no corrections)**: -642 meV per atom
**Energy above the lowest structure with this stoichiometry**: 0.00 kcal/mol of atoms
**Space group**: P4/mmm (123)

Lattice parameters (Å, degrees): 3.435 3.435 8.189 90.00 90.00 90.00
Fractional positions:
Zr  0.500  0.500  0.500
Lu  0.000  0.000  0.225
Lu  0.000  0.000  0.775
Se  0.500  0.500  0.000

Entry 10:
VASP calculation (PBE-GGA) on a relaxed VTeCl2 crystal.

Output
**Formation energy (no corrections)**: -125 meV per atom
**Energy above the lowest structure with this stoichiometry**: 12.42 kcal/mol of atoms
**Space group**: R-3m (166)

Lattice parameters (Å, degrees): 11.931 11.931 11.931 15.68 15.68 15.68
Last column: magnetic moment on the atom in μB.
Fractional positions:
V  0.000  0.000  0.000  1.05
Cl  0.940  0.940  0.940  -0.04
Te  0.500  0.500  0.500  -0.16
Cl  0.060  0.060  0.060  -0.04

Entry 11:
VASP calculation (PBE-GGA) on a relaxed Mo2PbBr crystal.

Output
**Formation energy (no corrections)**: 1062 meV per atom
**Energy above the lowest structure with this stoichiometry**: 19.65 kcal/mol of atoms
**Space group**: C2/m (12)

Lattice parameters (Å, degrees): 4.763 5.739 3.417 74.24 86.39 113.34
Fractional positions:
Pb  0.000  0.500  0.500
Mo  0.000  0.000  0.000
Br  0.500  0.500  0.000
Mo  0.500  0.000  0.500

Entry 12:
VASP calculation (PBE-GGA) on a relaxed Zn2RhSe crystal.

Output
**Formation energy (no corrections)**: -225 meV per atom
**Space group**: Cm (8)

Lattice parameters (Å, degrees): 4.670 4.670 6.102 72.81 72.81 36.72
Fractional positions:
Zn  0.206  0.206  0.293
Zn  0.988  0.988  0.049
Rh  0.456  0.456  0.409
Se  0.850  0.850  0.749

Entry 13:
VASP calculation (PBE-GGA) on a relaxed SmPuHgAu crystal.

Output
**Energy above the lowest structure with this stoichiometry**: 0.84 kcal/mol of atoms
**Energy relative to the elements**: -39 kJ per mole of atoms
**Space group**: F-43m (216)

Lattice parameters (Å, degrees): 5.263 5.263 5.263 60.00 60.00 60.00
Last column: magnetic moment on the atom in μB.
Fractional positions:
Pu  0.750  0.750  0.750  5.42
Hg  0.500  0.500  0.500  0.02
Sm  0.250  0.250  0.250  0.11
Au  0.000  0.000  0.000  0.01

Entry 14:
VASP calculation (PBE-GGA) on a relaxed Er4Cu2Ru crystal.

Output
**Energy relative to the elements**: -23 kJ per mole of atoms
**Space group**: R-3m (166)

Lattice parameters (Å, degrees): 4.823 4.823 8.312 73.13 73.13 60.00
Fractional positions:
Er  0.877  0.877  0.368
Er  0.374  0.374  0.877
Er  0.123  0.123  0.632
Er  0.626  0.626  0.123
Cu  0.748  0.748  0.755
Cu  0.252  0.252  0.245
Ru  0.000  0.000  0.000

Entry 15:
VASP calculation (PBE-GGA) on a relaxed Ac4Bi2TeP crystal.

Output
**Formation energy (no corrections)**: -1239 meV per atom
**Space group**: P2/m (10)

Lattice parameters (Å, degrees): 4.726 8.237 8.173 109.31 90.00 90.00
Fractional positions:
Ac  0.500  0.231  0.233
Ac  0.000  0.238  0.758
Ac  0.500  0.769  0.767
Bi  0.500  0.000  0.500
Te  0.500  0.500  0.000
Bi  0.000  0.500  0.500
P  0.000  0.000  0.000
Ac  0.000  0.762  0.242

Entry 16:
VASP calculation (PBE-GGA) on a relaxed FeTc2Au crystal.

Output
**Energy above the lowest structure with this stoichiometry**: 2.11 kcal/mol of atoms
**Energy relative to the elements**: 28 kJ per mole of atoms
**Space group**: R-3m (166)

Lattice parameters (Å, degrees): 9.156 9.156 9.156 17.21 17.21 17.21
Last column: magnetic moment on the atom in μB.
Fractional positions:
Au  0.250  0.250  0.250  -0.01
Fe  0.750  0.750  0.750  1.82
Tc  0.008  0.008  0.008  -0.12
Tc  0.492  0.492  0.492  -0.12

Entry 17:
VASP calculation (PBE-GGA) on a relaxed LiPmAu crystal.

Output
**Energy above the lowest structure with this stoichiometry**: 2.40 kcal/mol of atoms
**Energy relative to the elements**: -47 kJ per mole of atoms
**Space group**: I4mm (107)

Lattice parameters (Å, degrees): 3.794 3.794 5.385 110.63 110.63 90.00
Fractional positions:
Li  0.633  0.633  0.266
Pm  0.939  0.939  0.879
Au  0.278  0.278  0.555

Entry 18:
VASP calculation (PBE-GGA) on a relaxed KTa2Co crystal.

Output
**Energy above the lowest structure with this stoichiometry**: 18.67 kcal/mol of atoms
**Energy relative to the elements**: 128 kJ per mole of atoms
**Space group**: Pmmm (47)

Lattice parameters (Å, degrees): 2.835 5.049 5.517 90.00 90.00 90.00
Last column: magnetic moment on the atom in μB.
Fractional positions:
K  0.000  0.500  0.500  -0.04
Co  0.500  0.000  0.500  1.65
Ta  0.000  0.000  0.000  -0.05
Ta  0.500  0.500  0.000  -0.17

Entry 19:
VASP calculation (PBE-GGA) on a relaxed LiHoCdPt crystal.

Output
**Energy relative to the elements**: -61 kJ per mole of atoms
**Space group**: F-43m (216)

Lattice parameters (Å, degrees): 4.787 4.787 4.787 60.00 60.00 60.00
Fractional positions:
Li  0.250  0.250  0.250
Ho  0.000  0.000  0.000
Pt  0.750  0.750  0.750
Cd  0.500  0.500  0.500

Entry 20:
VASP calculation (PBE-GGA) on a relaxed HoNb2S6 crystal.

Output
**Formation energy (no corrections)**: -1033 meV per atom
**Space group**: C2/m (12)

Lattice parameters (Å, degrees): 4.547 6.574 8.311 72.17 74.12 69.76
Last column: magnetic moment on the atom in μB.
Fractional positions:
Ho  0.000  0.500  0.500  0.01
S  0.698  0.655  0.950  -0.01
S  0.020  0.165  0.794  0.00
S  0.350  0.689  0.612  0.00
S  0.650  0.311  0.388  0.00
Nb  0.167  0.778  0.888  0.08
S  0.302  0.345  0.050  -0.01
Nb  0.833  0.222  0.112  0.08
S  0.980  0.835  0.206  0.00

Number 1: total energy -7.011 eV per atom, D(E_F) 1.58 states/eV per atom. Number 2: total energy -5.206 eV per atom, D(E_F) 1.52 states/eV per atom. Number 3: total energy -4.524 eV per atom, D(E_F) 0.85 states/eV per atom. Number 4: total energy -4.191 eV per atom, D(E_F) 0.74 states/eV per atom. Number 5: total energy -4.677 eV per atom, D(E_F) 1.30 states/eV per atom. Number 6: total energy -3.493 eV per atom, D(E_F) 1.18 states/eV per atom. Number 7: total energy -2.091 eV per atom, D(E_F) 0.65 states/eV per atom. Number 8: total energy -4.426 eV per atom, D(E_F) 1.50 states/eV per atom. Number 9: total energy -5.911 eV per atom, D(E_F) 0.75 states/eV per atom. Number 10: total energy -4.114 eV per atom, D(E_F) 1.04 states/eV per atom. Number 11: total energy -5.699 eV per atom, D(E_F) 1.30 states/eV per atom. Number 12: total energy -3.570 eV per atom, D(E_F) 0.24 states/eV per atom. Number 13: total energy -6.062 eV per atom, D(E_F) 2.81 states/eV per atom. Number 14: total energy -5.342 eV per atom, D(E_F) 0.77 states/eV per atom. Number 15: total energy -5.332 eV per atom, D(E_F) 0.27 states/eV per atom. Number 16: total energy -7.832 eV per atom, D(E_F) 1.05 states/eV per atom. Number 17: total energy -3.798 eV per atom, D(E_F) 0.47 states/eV per atom. Number 18: total energy -6.647 eV per atom, D(E_F) 1.20 states/eV per atom. Number 19: total energy -3.999 eV per atom, D(E_F) 1.07 states/eV per atom. Number 20: total energy -6.531 eV per atom, D(E_F) 0.59 states/eV per atom.